DFT (GGA-PBE) results for an optimized crystal structure of Tl3HgRh.

**E_tot**: -28.45 eV/cell
**ΔH_f (0 K)**: 0.10 eV per atom
**M_tot**: 0.0 μB/f.u.

```
data_Tl3HgRh
_cell_length_a 7.849
_cell_length_b 7.849
_cell_length_c 7.936
_cell_angle_alpha 99.20
_cell_angle_beta 99.20
_cell_angle_gamma 35.14
_symmetry_space_group_name_H-M 'P 1'
_symmetry_Int_Tables_number 1
_symmetry_space_group_name_Hall 'P 1'
loop_
_atom_site_label
_atom_site_fract_x
_atom_site_fract_y
_atom_site_fract_z
Tl1 0.067 0.067 0.200
Tl2 0.190 0.190 0.565
Tl3 0.316 0.316 0.961
Tl4 0.684 0.684 0.039
Tl5 0.810 0.810 0.435
Tl6 0.933 0.933 0.800
Hg1 0.441 0.441 0.329
Hg2 0.559 0.559 0.671
Rh1 0.121 0.121 0.868
Rh2 0.879 0.879 0.132
```